The following is a PBE+U calculation of a relaxed PmCoB2O6 crystal, from the Alexandria database.

Cell lengths 5.958, 5.958, 5.958 Å; angles 47.29, 47.29, 47.29 degrees
Sites, in units of the cell vectors:
Pm (0.000, 0.000, 0.000)
Co (0.500, 0.500, 0.500)
B (0.233, 0.233, 0.233)
B (0.767, 0.767, 0.767)
O (0.070, 0.717, 0.496)
O (0.283, 0.504, 0.930)
O (0.496, 0.070, 0.717)
O (0.504, 0.930, 0.283)
O (0.717, 0.496, 0.070)
O (0.930, 0.283, 0.504)

**Uncorrected energy**: -76.08 eV/cell
**Total moment**: 0.00 μB per formula unit
**Symmetry**: R-3, No. 148